Entry 1:
# ScPHCl2

An optimized crystal structure of ScPHCl2 (PBE, Alexandria via LeMat-Bulk).

Output
Energy relative to the lowest polymorph listed for this composition   161.0 meV per atom
Crystal system   tetragonal
Electronic total energy   -3.88 eV/atom
N(E_F)   0.8511 states/eV/atom

a = 4.777 Å, b = 4.777 Å, c = 3.428 Å
α = 90.00°, β = 90.00°, γ = 90.00°
Fractional coordinates of all 5 atoms:
1 Sc 0.500 0.500 0.500
2 P 0.000 0.000 0.500
3 H 0.000 0.000 0.000
4 Cl 0.000 0.500 0.000
5 Cl 0.500 0.000 0.000



Entry 2:
# ScP2HCl

An optimized crystal structure of ScP2HCl (PBE, Alexandria via LeMat-Bulk).

Output
Energy relative to the lowest polymorph listed for this composition   692.0 meV per atom
Crystal system   tetragonal
Electronic total energy   -4.01 eV/atom
N(E_F)   0.3783 states/eV/atom

a = 5.118 Å, b = 5.118 Å, c = 5.068 Å
α = 90.00°, β = 90.00°, γ = 90.00°
Fractional coordinates of all 5 atoms:
1 Sc 0.000 0.000 0.000
2 P 0.000 0.500 0.000
3 P 0.500 0.000 0.000
4 H 0.500 0.500 0.500
5 Cl 0.000 0.000 0.500



Entry 3:
# ScPHCl2

An optimized crystal structure of ScPHCl2 (PBE, Alexandria via LeMat-Bulk).

Output
Energy relative to the lowest polymorph listed for this composition   0.0 meV per atom
Crystal system   tetragonal
Electronic total energy   -4.04 eV/atom
N(E_F)   0.0794 states/eV/atom

a = 5.032 Å, b = 5.032 Å, c = 5.324 Å
α = 90.00°, β = 90.00°, γ = 90.00°
Fractional coordinates of all 5 atoms:
1 Sc 0.000 0.000 0.000
2 P 0.000 0.000 0.500
3 H 0.500 0.500 0.500
4 Cl 0.000 0.500 0.000
5 Cl 0.500 0.000 0.000



Entry 4:
# P2HSeCl

An optimized crystal structure of P2HSeCl (PBE, Alexandria via LeMat-Bulk).

Output
Energy relative to the lowest polymorph listed for this composition   193.5 meV per atom
Crystal system   tetragonal
Electronic total energy   -2.92 eV/atom
N(E_F)   0.6912 states/eV/atom

a = 4.496 Å, b = 3.801 Å, c = 4.496 Å
α = 90.00°, β = 90.00°, γ = 90.00°
Fractional coordinates of all 5 atoms:
1 P 0.000 0.000 0.500
2 P 0.500 0.000 0.000
3 H 0.000 0.000 0.000
4 Se 0.000 0.500 0.000
5 Cl 0.500 0.500 0.500



Entry 5:
# P2HSeCl

An optimized crystal structure of P2HSeCl (PBE, Alexandria via LeMat-Bulk).

Output
Energy relative to the lowest polymorph listed for this composition   517.0 meV per atom
Crystal system   tetragonal
Electronic total energy   -2.59 eV/atom
N(E_F)   0.6024 states/eV/atom

a = 4.884 Å, b = 4.884 Å, c = 5.404 Å
α = 90.00°, β = 90.00°, γ = 90.00°
Fractional coordinates of all 5 atoms:
1 P 0.000 0.500 0.000
2 P 0.500 0.000 0.000
3 H 0.500 0.500 0.500
4 Se 0.000 0.000 0.000
5 Cl 0.000 0.000 0.500



Entry 6:
# P2HSeCl

An optimized crystal structure of P2HSeCl (PBE, Alexandria via LeMat-Bulk).

Output
Energy relative to the lowest polymorph listed for this composition   0.0 meV per atom
Crystal system   tetragonal
Electronic total energy   -3.11 eV/atom
N(E_F)   1.0271 states/eV/atom

a = 3.624 Å, b = 3.624 Å, c = 7.562 Å
α = 90.00°, β = 90.00°, γ = 90.00°
Fractional coordinates of all 5 atoms:
1 P 0.000 0.500 0.000
2 P 0.500 0.000 0.000
3 H 0.000 0.000 0.000
4 Se 0.500 0.500 0.500
5 Cl 0.000 0.000 0.500



Entry 7:
# SiP2HCl

An optimized crystal structure of SiP2HCl (PBE, Alexandria via LeMat-Bulk).

Output
Energy relative to the lowest polymorph listed for this composition   281.4 meV per atom
Crystal system   tetragonal
Electronic total energy   -3.30 eV/atom
N(E_F)   0.5433 states/eV/atom

a = 4.492 Å, b = 4.492 Å, c = 5.041 Å
α = 90.00°, β = 90.00°, γ = 90.00°
Fractional coordinates of all 5 atoms:
1 P 0.000 0.500 0.000
2 P 0.500 0.000 0.000
3 Si 0.000 0.000 0.000
4 H 0.500 0.500 0.500
5 Cl 0.000 0.000 0.500



Entry 8:
# SiP2HCl

An optimized crystal structure of SiP2HCl (PBE, Alexandria via LeMat-Bulk).

Output
Energy relative to the lowest polymorph listed for this composition   0.0 meV per atom
Crystal system   tetragonal
Electronic total energy   -3.58 eV/atom
N(E_F)   0.5445 states/eV/atom

a = 3.681 Å, b = 3.681 Å, c = 5.651 Å
α = 90.00°, β = 90.00°, γ = 90.00°
Fractional coordinates of all 5 atoms:
1 P 0.000 0.500 0.000
2 P 0.500 0.000 0.000
3 Si 0.500 0.500 0.500
4 H 0.000 0.000 0.000
5 Cl 0.000 0.000 0.500



Entry 9:
# SnPHCl2

An optimized crystal structure of SnPHCl2 (PBE, Alexandria via LeMat-Bulk).

Output
Energy relative to the lowest polymorph listed for this composition   0.0 meV per atom
Crystal system   tetragonal
Electronic total energy   -3.07 eV/atom
N(E_F)   0.6246 states/eV/atom

a = 5.264 Å, b = 5.264 Å, c = 3.376 Å
α = 90.00°, β = 90.00°, γ = 90.00°
Fractional coordinates of all 5 atoms:
1 P 0.000 0.000 0.500
2 Sn 0.500 0.500 0.500
3 H 0.000 0.000 0.000
4 Cl 0.000 0.500 0.000
5 Cl 0.500 0.000 0.000



Entry 10:
# SnPHCl2

An optimized crystal structure of SnPHCl2 (PBE, Alexandria via LeMat-Bulk).

Output
Energy relative to the lowest polymorph listed for this composition   210.4 meV per atom
Crystal system   tetragonal
Electronic total energy   -2.86 eV/atom
N(E_F)   0.1686 states/eV/atom

a = 5.364 Å, b = 5.364 Å, c = 5.316 Å
α = 90.00°, β = 90.00°, γ = 90.00°
Fractional coordinates of all 5 atoms:
1 P 0.000 0.000 0.500
2 Sn 0.000 0.000 0.000
3 H 0.500 0.500 0.500
4 Cl 0.000 0.500 0.000
5 Cl 0.500 0.000 0.000



Entry 11:
# SnP2HCl

An optimized crystal structure of SnP2HCl (PBE, Alexandria via LeMat-Bulk).

Output
Energy relative to the lowest polymorph listed for this composition   0.0 meV per atom
Crystal system   tetragonal
Electronic total energy   -3.58 eV/atom
N(E_F)   0.8381 states/eV/atom

a = 3.895 Å, b = 3.895 Å, c = 5.835 Å
α = 90.00°, β = 90.00°, γ = 90.00°
Fractional coordinates of all 5 atoms:
1 P 0.000 0.500 0.000
2 P 0.500 0.000 0.000
3 Sn 0.500 0.500 0.500
4 H 0.000 0.000 0.000
5 Cl 0.000 0.000 0.500



Entry 12:
# SnP2HCl

An optimized crystal structure of SnP2HCl (PBE, Alexandria via LeMat-Bulk).

Output
Energy relative to the lowest polymorph listed for this composition   660.9 meV per atom
Crystal system   tetragonal
Electronic total energy   -2.91 eV/atom
N(E_F)   0.5699 states/eV/atom

a = 5.238 Å, b = 5.238 Å, c = 5.417 Å
α = 90.00°, β = 90.00°, γ = 90.00°
Fractional coordinates of all 5 atoms:
1 P 0.000 0.500 0.000
2 P 0.500 0.000 0.000
3 Sn 0.000 0.000 0.000
4 H 0.500 0.500 0.500
5 Cl 0.000 0.000 0.500



Entry 13:
# SrPHCl2

An optimized crystal structure of SrPHCl2 (PBE, Alexandria via LeMat-Bulk).

Output
Energy relative to the lowest polymorph listed for this composition   0.0 meV per atom
Crystal system   tetragonal
Electronic total energy   -3.39 eV/atom
N(E_F)   0.2502 states/eV/atom

a = 5.218 Å, b = 5.218 Å, c = 3.641 Å
α = 90.00°, β = 90.00°, γ = 90.00°
Fractional coordinates of all 5 atoms:
1 Sr 0.500 0.500 0.500
2 H 0.000 0.000 0.000
3 P 0.000 0.000 0.500
4 Cl 0.000 0.500 0.000
5 Cl 0.500 0.000 0.000



Entry 14:
# SrP2HCl

An optimized crystal structure of SrP2HCl (PBE, Alexandria via LeMat-Bulk).

Output
Energy relative to the lowest polymorph listed for this composition   1130.0 meV per atom
Crystal system   tetragonal
Electronic total energy   -2.77 eV/atom
N(E_F)   0.3392 states/eV/atom

a = 6.372 Å, b = 6.372 Å, c = 5.620 Å
α = 90.00°, β = 90.00°, γ = 90.00°
Fractional coordinates of all 5 atoms:
1 Sr 0.000 0.000 0.000
2 H 0.500 0.500 0.500
3 P 0.000 0.500 0.000
4 P 0.500 0.000 0.000
5 Cl 0.000 0.000 0.500



Entry 15:
# SrP2HCl

An optimized crystal structure of SrP2HCl (PBE, Alexandria via LeMat-Bulk).

Output
Energy relative to the lowest polymorph listed for this composition   0.0 meV per atom
Crystal system   tetragonal
Electronic total energy   -3.90 eV/atom
N(E_F)   0.7876 states/eV/atom

a = 3.921 Å, b = 3.921 Å, c = 6.051 Å
α = 90.00°, β = 90.00°, γ = 90.00°
Fractional coordinates of all 5 atoms:
1 Sr 0.500 0.500 0.500
2 H 0.000 0.000 0.000
3 P 0.000 0.500 0.000
4 P 0.500 0.000 0.000
5 Cl 0.000 0.000 0.500



Entry 16:
# SrPHCl2

An optimized crystal structure of SrPHCl2 (PBE, Alexandria via LeMat-Bulk).

Output
Energy relative to the lowest polymorph listed for this composition   430.0 meV per atom
Crystal system   tetragonal
Electronic total energy   -2.96 eV/atom

a = 5.620 Å, b = 5.620 Å, c = 7.161 Å
α = 90.00°, β = 90.00°, γ = 90.00°
Fractional coordinates of all 5 atoms:
1 Sr 0.000 0.000 0.000
2 H 0.500 0.500 0.500
3 P 0.000 0.000 0.500
4 Cl 0.000 0.500 0.000
5 Cl 0.500 0.000 0.000



Entry 17:
# TaP2HCl

An optimized crystal structure of TaP2HCl (PBE, Alexandria via LeMat-Bulk).

Output
Energy relative to the lowest polymorph listed for this composition   0.0 meV per atom
Crystal system   tetragonal
Electronic total energy   -5.08 eV/atom
N(E_F)   0.5573 states/eV/atom

a = 4.801 Å, b = 4.801 Å, c = 5.058 Å
α = 90.00°, β = 90.00°, γ = 90.00°
Fractional coordinates of all 5 atoms:
1 P 0.000 0.500 0.000
2 P 0.500 0.000 0.000
3 Cl 0.000 0.000 0.500
4 H 0.500 0.500 0.500
5 Ta 0.000 0.000 0.000



Entry 18:
# TaP2HCl

An optimized crystal structure of TaP2HCl (PBE, Alexandria via LeMat-Bulk).

Output
Energy relative to the lowest polymorph listed for this composition   95.3 meV per atom
Crystal system   tetragonal
Electronic total energy   -4.98 eV/atom
N(E_F)   0.7151 states/eV/atom

a = 3.739 Å, b = 3.739 Å, c = 4.719 Å
α = 90.00°, β = 90.00°, γ = 90.00°
Fractional coordinates of all 5 atoms:
1 P 0.000 0.500 0.000
2 P 0.500 0.000 0.000
3 Cl 0.000 0.000 0.500
4 H 0.000 0.000 0.000
5 Ta 0.500 0.500 0.500



Entry 19:
# Tc2PHCl

An optimized crystal structure of Tc2PHCl (PBE, Alexandria via LeMat-Bulk).

Output
Energy relative to the lowest polymorph listed for this composition   0.0 meV per atom
Crystal system   tetragonal
Electronic total energy   -5.55 eV/atom
N(E_F)   0.9052 states/eV/atom

a = 4.257 Å, b = 3.252 Å, c = 4.257 Å
α = 90.00°, β = 90.00°, γ = 90.00°
Fractional coordinates of all 5 atoms:
1 P 0.000 0.500 0.000
2 Tc 0.000 0.000 0.500
3 Tc 0.500 0.000 0.000
4 H 0.000 0.000 0.000
5 Cl 0.500 0.500 0.500



Entry 20:
# Tc2PHCl

An optimized crystal structure of Tc2PHCl (PBE, Alexandria via LeMat-Bulk).

Output
Energy relative to the lowest polymorph listed for this composition   1272.3 meV per atom
Crystal system   tetragonal
Electronic total energy   -4.28 eV/atom
N(E_F)   0.7235 states/eV/atom

a = 4.389 Å, b = 4.568 Å, c = 4.389 Å
α = 90.00°, β = 90.00°, γ = 90.00°
Fractional coordinates of all 5 atoms:
1 P 0.000 0.500 0.000
2 Tc 0.000 0.000 0.500
3 Tc 0.500 0.000 0.000
4 H 0.500 0.500 0.500
5 Cl 0.000 0.000 0.000



Entry 21:
# TeP2HCl

An optimized crystal structure of TeP2HCl (PBE, Alexandria via LeMat-Bulk).

Output
Energy relative to the lowest polymorph listed for this composition   480.2 meV per atom
Crystal system   tetragonal
Electronic total energy   -2.56 eV/atom
N(E_F)   0.7053 states/eV/atom

a = 5.142 Å, b = 5.142 Å, c = 5.599 Å
α = 90.00°, β = 90.00°, γ = 90.00°
Fractional coordinates of all 5 atoms:
1 P 0.000 0.500 0.000
2 P 0.500 0.000 0.000
3 Te 0.000 0.000 0.000
4 H 0.500 0.500 0.500
5 Cl 0.000 0.000 0.500



Entry 22:
# TePHCl2

An optimized crystal structure of TePHCl2 (PBE, Alexandria via LeMat-Bulk).

Output
Energy relative to the lowest polymorph listed for this composition   0.0 meV per atom
Crystal system   tetragonal
Electronic total energy   -2.43 eV/atom
N(E_F)   0.5416 states/eV/atom

a = 4.303 Å, b = 4.303 Å, c = 4.624 Å
α = 90.00°, β = 90.00°, γ = 90.00°
Fractional coordinates of all 5 atoms:
1 P 0.000 0.000 0.500
2 Te 0.500 0.500 0.500
3 H 0.000 0.000 0.000
4 Cl 0.000 0.500 0.000
5 Cl 0.500 0.000 0.000



Entry 23:
# TePHCl2

An optimized crystal structure of TePHCl2 (PBE, Alexandria via LeMat-Bulk).

Output
Energy relative to the lowest polymorph listed for this composition   13.5 meV per atom
Crystal system   tetragonal
Electronic total energy   -2.42 eV/atom
N(E_F)   0.5795 states/eV/atom

a = 5.465 Å, b = 5.465 Å, c = 5.118 Å
α = 90.00°, β = 90.00°, γ = 90.00°
Fractional coordinates of all 5 atoms:
1 P 0.000 0.000 0.500
2 Te 0.000 0.000 0.000
3 H 0.500 0.500 0.500
4 Cl 0.000 0.500 0.000
5 Cl 0.500 0.000 0.000



Entry 24:
# TeP2HCl

An optimized crystal structure of TeP2HCl (PBE, Alexandria via LeMat-Bulk).

Output
Energy relative to the lowest polymorph listed for this composition   0.0 meV per atom
Crystal system   tetragonal
Electronic total energy   -3.04 eV/atom
N(E_F)   0.9473 states/eV/atom

a = 4.004 Å, b = 4.004 Å, c = 5.099 Å
α = 90.00°, β = 90.00°, γ = 90.00°
Fractional coordinates of all 5 atoms:
1 P 0.000 0.500 0.000
2 P 0.500 0.000 0.000
3 Te 0.500 0.500 0.500
4 H 0.000 0.000 0.000
5 Cl 0.000 0.000 0.500



Entry 25:
# TiPHCl2

An optimized crystal structure of TiPHCl2 (PBE, Alexandria via LeMat-Bulk).

Output
Energy relative to the lowest polymorph listed for this composition   320.8 meV per atom
Crystal system   tetragonal
Electronic total energy   -3.79 eV/atom
N(E_F)   0.8892 states/eV/atom

a = 4.710 Å, b = 4.710 Å, c = 3.307 Å
α = 90.00°, β = 90.00°, γ = 90.00°
Fractional coordinates of all 5 atoms:
1 P 0.000 0.000 0.500
2 Cl 0.000 0.500 0.000
3 Cl 0.500 0.000 0.000
4 H 0.000 0.000 0.000
5 Ti 0.500 0.500 0.500



Entry 26:
# TiPHCl2

An optimized crystal structure of TiPHCl2 (PBE, Alexandria via LeMat-Bulk).

Output
Energy relative to the lowest polymorph listed for this composition   0.0 meV per atom
Crystal system   tetragonal
Electronic total energy   -4.11 eV/atom
N(E_F)   1.0029 states/eV/atom

a = 4.858 Å, b = 4.858 Å, c = 4.785 Å
α = 90.00°, β = 90.00°, γ = 90.00°
Fractional coordinates of all 5 atoms:
1 P 0.000 0.000 0.500
2 Cl 0.000 0.500 0.000
3 Cl 0.500 0.000 0.000
4 H 0.500 0.500 0.500
5 Ti 0.000 0.000 0.000



Entry 27:
# VP2HCl

An optimized crystal structure of VP2HCl (PBE, Alexandria via LeMat-Bulk).

Output
Energy relative to the lowest polymorph listed for this composition   0.0 meV per atom
Crystal system   tetragonal
Electronic total energy   -4.51 eV/atom
N(E_F)   0.5228 states/eV/atom

a = 4.479 Å, b = 4.479 Å, c = 4.986 Å
α = 90.00°, β = 90.00°, γ = 90.00°
Fractional coordinates of all 5 atoms:
1 P 0.000 0.500 0.000
2 P 0.500 0.000 0.000
3 Cl 0.000 0.000 0.500
4 H 0.500 0.500 0.500
5 V 0.000 0.000 0.000



Entry 28:
# VPHCl2

An optimized crystal structure of VPHCl2 (PBE, Alexandria via LeMat-Bulk).

Output
Energy relative to the lowest polymorph listed for this composition   457.6 meV per atom
Crystal system   tetragonal
Electronic total energy   -3.66 eV/atom
N(E_F)   1.0907 states/eV/atom

a = 4.723 Å, b = 4.723 Å, c = 3.234 Å
α = 90.00°, β = 90.00°, γ = 90.00°
Fractional coordinates of all 5 atoms:
1 P 0.000 0.000 0.500
2 Cl 0.000 0.500 0.000
3 Cl 0.500 0.000 0.000
4 H 0.000 0.000 0.000
5 V 0.500 0.500 0.500



Entry 29:
# VP2HCl

An optimized crystal structure of VP2HCl (PBE, Alexandria via LeMat-Bulk).

Output
Energy relative to the lowest polymorph listed for this composition   72.0 meV per atom
Crystal system   tetragonal
Electronic total energy   -4.44 eV/atom
N(E_F)   1.4206 states/eV/atom

a = 3.622 Å, b = 3.622 Å, c = 4.977 Å
α = 90.00°, β = 90.00°, γ = 90.00°
Fractional coordinates of all 5 atoms:
1 P 0.000 0.500 0.000
2 P 0.500 0.000 0.000
3 Cl 0.000 0.000 0.500
4 H 0.000 0.000 0.000
5 V 0.500 0.500 0.500